[1]
DFT (PBE) results for a relaxed CaZn4Cr crystal.

```
CaZn4Cr
1.0
0.000 3.725 3.725
3.725 0.000 3.725
3.725 3.725 0.000
Ca Zn Cr
1 4 1
direct
0.000 0.000 0.000
0.376 0.376 0.376
0.376 0.376 0.872
0.376 0.872 0.376
0.872 0.376 0.376
0.750 0.750 0.750
```

Output
**Space group**: F-43m, No. 216
**M_tot**: 3.99 μB per formula unit

***

[2]
DFT (PBE) results for a relaxed CaZn3Cr crystal.

```
CaZn3Cr
1.0
4.840 0.000 0.000
0.000 4.840 0.000
0.000 0.000 4.840
Ca Zn Cr
1 3 1
direct
0.000 0.000 0.000
0.000 0.500 0.500
0.500 0.000 0.500
0.500 0.500 0.000
0.500 0.500 0.500
```

Output
**Space group**: Pm-3m, No. 221
**M_tot**: 3.32 μB per formula unit

***

[3]
DFT (PBE) results for a relaxed CaZn3Cr crystal.

```
CaZn3Cr
1.0
5.475 0.000 0.000
0.000 5.475 0.000
0.000 0.000 5.475
Ca Zn Cr
1 3 1
direct
0.000 0.000 0.000
0.000 0.000 0.500
0.000 0.500 0.000
0.500 0.000 0.000
0.500 0.500 0.500
```

Output
**Space group**: Pm-3m, No. 221
**M_tot**: 4.79 μB per formula unit

***

[4]
DFT (PBE) results for a relaxed Ca2Zn2Cr crystal.

```
Ca2Zn2Cr
1.0
-2.903 2.903 3.845
2.903 -2.903 3.845
2.903 2.903 -3.845
Ca Zn Cr
2 2 1
direct
0.250 0.750 0.500
0.750 0.250 0.500
0.155 0.155 0.000
0.845 0.845 0.000
0.500 0.500 0.000
```

Output
**Space group**: I4/mmm, No. 139
**M_tot**: 4.06 μB per formula unit

***

[5]
DFT (PBE) results for a relaxed Ca2ZrCr crystal.

```
Ca2ZrCr
1.0
1.703 0.983 10.889
-1.703 0.983 10.889
0.000 -1.967 10.889
Ca Zr Cr
2 1 1
direct
0.246 0.246 0.246
0.754 0.754 0.754
0.000 0.000 0.000
0.500 0.500 0.500
```

Output
**Space group**: R-3m, No. 166
**M_tot**: 4.20 μB per formula unit

***

[6]
DFT (PBE) results for a relaxed CaZr4Cr crystal.

```
CaZr4Cr
1.0
0.000 4.204 4.204
4.204 0.000 4.204
4.204 4.204 0.000
Ca Zr Cr
1 4 1
direct
0.000 0.000 0.000
0.376 0.376 0.376
0.376 0.376 0.873
0.376 0.873 0.376
0.873 0.376 0.376
0.750 0.750 0.750
```

Output
**Space group**: F-43m, No. 216
**M_tot**: 4.17 μB per formula unit

***

[7]
DFT (PBE) results for a relaxed Ca3ZrCr crystal.

```
Ca3ZrCr
1.0
5.709 0.000 0.000
0.000 5.709 0.000
0.000 0.000 5.709
Ca Zr Cr
3 1 1
direct
0.000 0.000 0.500
0.000 0.500 0.000
0.500 0.000 0.000
0.000 0.000 0.000
0.500 0.500 0.500
```

Output
**Space group**: Pm-3m, No. 221
**M_tot**: 3.72 μB per formula unit

***

[8]
DFT (PBE) results for a relaxed CaZrCr2 crystal.

```
CaZrCr2
1.0
1.567 0.905 9.336
-1.567 0.905 9.336
0.000 -1.810 9.336
Ca Zr Cr
1 1 2
direct
0.000 0.000 0.000
0.223 0.223 0.223
0.478 0.478 0.478
0.759 0.759 0.759
```

Output
**Space group**: R3m, No. 160
**M_tot**: 0.62 μB per formula unit

***

In the order shown, the computed energy values come out to -2.84; -2.82; -1.93; -3.02; -4.89; -7.08; -3.56; -6.79 eV per atom.